Record 1
Here is a relaxed structure of Tl3NiAg from Alexandria. Energies are from PBE.

The value obtained for the formation energy is 1.2 eV per formula unit. The density of states at the Fermi level is 1.90 states/eV/cell. For the energy above the most stable polymorph in this dataset, the calculation gives 0 meV per atom. For the calculated total energy, the calculation gives -2.9126 eV per atom. As for the magnetization: 0.0 μB per formula unit.

Unit cell a=5.1236 b=5.1236 c=5.1236 alpha=90.00 beta=90.00 gamma=90.00
Closest atoms and distances in Å follow each position.
Element x y z (fractional)
Tl  0.0000  0.0000  0.5000  2 Ni 2.56
Tl  0.0000  0.5000  0.0000  2 Ni 2.56
Tl  0.5000  0.0000  0.0000  2 Ni 2.56
Ni  0.0000  0.0000  0.0000  6 Tl 2.56
Ag  0.5000  0.5000  0.5000  12 Tl 3.62

***

Record 2
Here is a relaxed structure of Tl4NiAg from Alexandria. Energies are from PBE.

The value obtained for the formation energy is 4.2 eV per formula unit. The density of states at the Fermi level is 8.68 states/eV/cell. For the calculated total energy, the calculation gives -2.3238 eV per atom. As for the magnetization: 0.5 μB per formula unit.

Unit cell a=6.2318 b=6.2318 c=6.2318 alpha=60.00 beta=60.00 gamma=60.00
Closest atoms and distances in Å follow each position.
Element x y z (fractional)
Tl  0.1252  0.1252  0.1252  6 Tl 3.11-3.12
Tl  0.1252  0.1252  0.6244  6 Tl 3.11-3.12
Tl  0.1252  0.6244  0.1252  6 Tl 3.11-3.12
Tl  0.6244  0.1252  0.1252  6 Tl 3.11-3.12
Ni  0.5000  0.5000  0.5000  12 Tl 3.65, 4 Ag 3.82
Ag  0.7500  0.7500  0.7500  12 Tl 3.65, 4 Ni 3.82

***

Record 3
Here is a relaxed structure of Tl2NiAg from Alexandria. Energies are from PBE.

The value obtained for the formation energy is 1.0 eV per formula unit. The density of states at the Fermi level is 2.13 states/eV/cell. For the energy above the most stable polymorph in this dataset, the calculation gives 36 meV per atom. For the calculated total energy, the calculation gives -3.0941 eV per atom. As for the magnetization: 0.0 μB per formula unit.

Unit cell a=3.3119 b=3.3119 c=7.8249 alpha=90.00 beta=90.00 gamma=90.00
Closest atoms and distances in Å follow each position.
Element x y z (fractional)
Tl  0.0000  0.0000  0.0000  4 Ni 2.83, 1 Ag 2.98
Tl  0.5000  0.5000  0.3509  4 Ag 3.14, 4 Tl 3.31, 1 Ni 3.50
Ni  0.5000  0.5000  0.7979  4 Ag 2.73, 4 Tl 2.83
Ag  0.0000  0.0000  0.6187  4 Ni 2.73, 1 Tl 2.98